The following is a GGA-PBE calculation of a relaxed structure of Sr2UInSe6, from Alexandria.

Lattice parameters (Å, degrees): 7.4714 7.4714 7.6062 60.58 60.58 60.00
With the nearest neighbours (Å) after each atom.
Element x y z (fractional)
Sr: 0.5365 0.5365 0.3904  6 Se 3.11-3.24
Sr: 0.0300 0.0300 0.9100  6 Se 3.10-3.19
U: 0.3210 0.3210 0.0369  6 Se 2.74-2.76
In: 0.8164 0.8165 0.5506  6 Se 2.74-2.84
Se: 0.5812 0.1690 0.2727  1 U 2.74, 1 In 2.84
Se: 0.1690 0.9771 0.2727  1 U 2.74, 1 In 2.84
Se: 0.9771 0.5812 0.2727  1 U 2.74, 1 In 2.84
Se: 0.4671 0.6720 0.7697  1 In 2.74, 1 U 2.76
Se: 0.6720 0.0912 0.7697  1 In 2.74, 1 U 2.76
Se: 0.0912 0.4671 0.7697  1 In 2.74, 1 U 2.76

Results
Formation energy without anion corrections: -1.263 eV per atom
Magnetic moment: 1.00 μB/f.u.